Record 1
GGA-PBEsol Sr4Pt4PbO11, relaxed; total magnetic moment = 0.00 μB/f.u.; DOS(E_F) = 1.23 states/eV/f.u.; space-group type = P-1; VASP energy = -258.7 eV per cell; calculated density = 8.883 Mg/m³
1.0
5.675 0.001 0.001
0.004 9.938 -0.003
0.033 0.076 10.036
Sr Pt Pb O
8 8 2 22
Direct
0.250 0.124 0.953
0.249 0.034 0.606
0.751 0.616 0.483
0.250 0.466 0.873
0.750 0.534 0.127
0.249 0.384 0.517
0.750 0.876 0.047
0.751 0.966 0.394
0.249 0.372 0.183
0.750 0.202 0.106
0.751 0.628 0.817
0.749 0.293 0.354
0.751 0.876 0.723
0.251 0.707 0.646
0.250 0.798 0.894
0.249 0.124 0.277
0.716 0.256 0.730
0.284 0.744 0.270
0.679 0.747 0.264
0.251 0.632 0.464
0.003 0.332 0.043
0.996 0.433 0.309
0.754 0.056 0.633
0.009 0.940 0.848
0.246 0.944 0.367
0.501 0.667 0.956
0.012 0.172 0.416
0.499 0.333 0.044
0.512 0.830 0.585
0.749 0.368 0.536
0.004 0.567 0.691
0.494 0.939 0.850
0.991 0.060 0.152
0.488 0.170 0.415
0.321 0.253 0.736
0.988 0.828 0.584
0.500 0.568 0.690
0.506 0.061 0.150
0.997 0.668 0.957
0.500 0.432 0.310



Record 2
GGA-PBEsol Ni2BrN, relaxed; total magnetic moment = 0.00 μB/f.u.; DOS(E_F) = 1.82 states/eV/f.u.; space-group type = Fm-3m; VASP energy = -18.5 eV per cell; calculated density = 7.891 Mg/m³
1.0
-3.173 2.097 -1.161
-3.557 -1.758 -0.267
-2.860 0.891 2.615
Ni Br N
2 1 1
Direct
0.250 0.250 0.250
0.750 0.750 0.750
0.500 0.500 0.500
0.000 0.000 0.000



no.,raw formation energy (eV/atom)
1,-1.620
2,1.043